# 1
The following is a PBE calculation of a geometry-optimized CaAlPt structure, from the Alexandria database.

magnetic moment = 0.0 μB per cell
ΔE_f = -0.98 eV/atom
volume = 20.23 Å³ per atom
DFT total energy = -4.910 eV per atom

Cell and atoms, written as CIF:
```
data_CaAlPt
_space_group_name_H-M_alt 'P 1'
_space_group_IT_number 1
_cell_length_a 4.337
_cell_length_b 7.177
_cell_length_c 7.798
_cell_angle_alpha 90.00
_cell_angle_beta 90.00
_cell_angle_gamma 90.00
loop_
_space_group_symop_operation_xyz
'x,y,z'
loop_
_atom_site_label
_atom_site_type_symbol
_atom_site_fract_x
_atom_site_fract_y
_atom_site_fract_z
Ca1 Ca 0.250 0.022 0.677
Ca2 Ca 0.250 0.522 0.823
Ca3 Ca 0.750 0.978 0.323
Ca4 Ca 0.750 0.478 0.177
Al1 Al 0.750 0.355 0.564
Al2 Al 0.250 0.145 0.064
Al3 Al 0.750 0.855 0.936
Al4 Al 0.250 0.645 0.436
Pt1 Pt 0.750 0.211 0.883
Pt2 Pt 0.750 0.711 0.617
Pt3 Pt 0.250 0.789 0.117
Pt4 Pt 0.250 0.289 0.383
```

***

# 2
The following is a PBE calculation of a geometry-optimized NaVCd structure, from the Alexandria database.

magnetic moment = 8.0 μB per cell
ΔE_f = 1.34 eV/atom
volume = 38.03 Å³ per atom
DFT total energy = -2.440 eV per atom

Cell and atoms, written as CIF:
```
data_NaVCd
_space_group_name_H-M_alt 'P 1'
_space_group_IT_number 1
_cell_length_a 4.901
_cell_length_b 4.901
_cell_length_c 10.972
_cell_angle_alpha 90.00
_cell_angle_beta 90.00
_cell_angle_gamma 120.00
loop_
_space_group_symop_operation_xyz
'x,y,z'
loop_
_atom_site_label
_atom_site_type_symbol
_atom_site_fract_x
_atom_site_fract_y
_atom_site_fract_z
Na1 Na 0.333 0.667 0.250
Na2 Na 0.667 0.333 0.750
Cd1 Cd 0.000 0.000 0.250
Cd2 Cd 0.000 0.000 0.750
V1 V 0.000 0.000 0.000
V2 V 0.000 0.000 0.500
```

***

# 3
The following is a PBE calculation of a geometry-optimized Si5Pb structure, from the Alexandria database.

magnetic moment = 0.0 μB per cell
raw formation energy = 0.43 eV per atom
volume = 22.15 Å³ per atom
DFT total energy = -4.710 eV per atom

Cell and atoms, written as CIF:
```
data_Si5Pb
_space_group_name_H-M_alt 'P 1'
_space_group_IT_number 1
_cell_length_a 5.587
_cell_length_b 5.587
_cell_length_c 6.968
_cell_angle_alpha 89.86
_cell_angle_beta 89.86
_cell_angle_gamma 37.65
loop_
_space_group_symop_operation_xyz
'x,y,z'
loop_
_atom_site_label
_atom_site_type_symbol
_atom_site_fract_x
_atom_site_fract_y
_atom_site_fract_z
Si1 Si 0.318 0.318 0.551
Si2 Si 0.651 0.651 0.212
Si3 Si 0.626 0.626 0.550
Si4 Si 0.972 0.972 0.623
Si5 Si 0.295 0.295 0.212
Pb1 Pb 0.973 0.973 0.019
```

***

# 4
The following is a PBE calculation of a geometry-optimized LaMgAlHg structure, from the Alexandria database.

magnetic moment = 0.0 μB per cell
ΔE_f = -0.35 eV/atom
volume = 24.79 Å³ per atom
DFT total energy = -2.988 eV per atom

Cell and atoms, written as CIF:
```
data_LaMgAlHg
_space_group_name_H-M_alt 'P 1'
_space_group_IT_number 1
_cell_length_a 5.195
_cell_length_b 5.195
_cell_length_c 5.195
_cell_angle_alpha 60.00
_cell_angle_beta 60.00
_cell_angle_gamma 60.00
loop_
_space_group_symop_operation_xyz
'x,y,z'
loop_
_atom_site_label
_atom_site_type_symbol
_atom_site_fract_x
_atom_site_fract_y
_atom_site_fract_z
Mg1 Mg 0.750 0.750 0.750
Al1 Al 0.000 0.000 0.000
Hg1 Hg 0.500 0.500 0.500
La1 La 0.250 0.250 0.250
```

***

What is the formula in the second record?
NaVCd